[1]
VASP calculation (PBE) on Cd3InAg5 after structural relaxation.

```
Cd3InAg5
1.0
5.951 -0.301 -0.541
1.339 5.806 -0.541
1.760 1.329 11.394
Cd In Ag
6 2 10
Cartesian
6.940 5.240 9.171 Cd
5.731 4.328 4.832 Cd
0.000 0.000 0.000 Cd
0.880 0.665 5.697 Cd
2.110 1.593 1.140 Cd
3.319 2.506 5.479 Cd
1.658 1.252 8.371 In
7.392 5.582 1.940 In
7.069 2.626 2.931 Ag
2.871 3.777 -0.541 Ag
5.463 4.125 0.656 Ag
4.044 3.054 2.778 Ag
5.006 3.780 7.533 Ag
3.587 2.708 9.655 Ag
4.461 6.080 2.931 Ag
4.419 1.727 -0.541 Ag
1.981 4.207 7.380 Ag
4.589 0.754 7.380 Ag
```

Results
DFT formation energy in eV per atom: 0.17
Total energy in eV for the cell shown: -36.49
Total magnetic moment in μB per atom: 0.000
Space group: No. 12
ρ in g/cm³: 8.08

=====

[2]
VASP calculation (PBE) on Tb2Ni5Ge3H2 after structural relaxation.

```
Tb2Ni5Ge3H2
1.0
-1.480 0.125 -3.663
3.653 -0.267 -1.486
-1.850 -10.161 2.534
Tb Ni Ge H
2 5 3 2
Cartesian
0.792 -4.018 -2.590 Tb
-0.469 -6.286 -0.025 Tb
-0.860 -1.546 -1.838 Ni
1.182 -8.757 -0.777 Ni
1.706 -1.742 -0.749 Ni
-1.384 -8.561 -1.865 Ni
1.086 -0.071 -2.574 Ni
-0.236 -3.156 -0.013 Ge
0.558 -7.147 -2.602 Ge
0.000 0.000 0.000 Ge
-0.644 -8.618 -0.034 H
0.966 -1.685 -2.580 H
```

Results
Total energy in eV for the cell shown: -63.65
Total magnetic moment in μB per atom: 0.001
Space group: No. 139
ρ in g/cm³: 8.61

=====

[3]
VASP calculation (PBE) on Sm2DyMn after structural relaxation.

```
Sm2DyMn
1.0
-0.068 3.466 0.940
-3.554 -0.198 0.476
1.251 -2.256 8.411
Mn Sm Dy
1 2 1
Cartesian
-1.811 1.634 0.708 Mn
0.991 -1.787 6.663 Sm
0.260 -0.469 1.748 Sm
-1.185 0.505 4.913 Dy
```

Results
DFT formation energy in eV per atom: 0.16
Total energy in eV for the cell shown: -22.56
Total magnetic moment in μB per atom: 1.006
Space group: No. 123
ρ in g/cm³: 7.58

=====

[4]
VASP calculation (PBE) on ZrSc2N2 after structural relaxation.

```
ZrSc2N2
1.0
-1.190 2.910 0.755
-2.153 -1.794 3.522
5.606 0.312 0.709
Zr Sc N
1 2 2
Cartesian
0.000 0.000 0.000 Zr
2.500 0.552 1.809 Sc
-0.235 0.875 3.178 Sc
0.714 1.744 1.325 N
1.550 -0.317 3.662 N
```

Results
Total energy in eV for the cell shown: -45.39
Total magnetic moment in μB per atom: 0.000
Space group: No. 71
ρ in g/cm³: 4.84

=====

[5]
VASP calculation (PBE) on Ce5SnRu4 after structural relaxation.

```
Ce5SnRu4
1.0
7.001 0.000 0.000
0.000 7.709 0.000
0.000 0.000 8.808
Ce Sn Ru
10 2 8
Cartesian
1.828 5.801 7.036 Ce
1.828 1.908 7.036 Ce
6.193 3.855 0.000 Ce
1.828 5.801 1.772 Ce
1.828 1.908 1.772 Ce
5.173 5.763 2.632 Ce
5.173 1.947 2.632 Ce
0.808 0.000 4.404 Ce
5.173 1.947 6.176 Ce
5.173 5.763 6.176 Ce
4.588 0.000 0.000 Sn
2.413 3.855 4.404 Sn
0.043 0.000 7.329 Ru
3.514 5.198 0.000 Ru
3.514 2.511 0.000 Ru
0.043 0.000 1.480 Ru
6.959 3.855 2.924 Ru
3.487 6.366 4.404 Ru
3.487 1.343 4.404 Ru
6.959 3.855 5.884 Ru
```

Results
DFT formation energy in eV per atom: -0.28
Total energy in eV for the cell shown: -147.24
Total magnetic moment in μB per atom: 0.160
Space group: No. 59
ρ in g/cm³: 8.55

=====

[6]
VASP calculation (PBE) on LiIn3I after structural relaxation.

```
LiIn3I
1.0
5.311 0.000 0.000
0.000 5.311 0.000
0.000 0.000 5.311
I Li In
1 1 3
Cartesian
2.656 2.656 2.656 I
0.000 0.000 0.000 Li
0.000 2.656 0.000 In
0.000 0.000 2.656 In
2.656 0.000 0.000 In
```

Results
Total energy in eV for the cell shown: -11.85
Total magnetic moment in μB per atom: 0.000
Space group: No. 221
ρ in g/cm³: 5.30

=====

[7]
VASP calculation (PBE) on MgNi2BPd after structural relaxation.

```
MgNi2BPd
1.0
3.884 0.000 0.000
0.000 3.884 0.000
0.000 0.000 4.181
Ni Mg B Pd
2 1 1 1
Cartesian
0.000 1.942 0.000 Ni
1.942 0.000 0.000 Ni
1.942 1.942 2.091 Mg
0.000 0.000 0.000 B
0.000 0.000 2.091 Pd
```

Results
DFT formation energy in eV per atom: -0.32
Total energy in eV for the cell shown: -26.62
Total magnetic moment in μB per atom: 0.000
Space group: No. 123
ρ in g/cm³: 6.82

=====

[8]
VASP calculation (PBE) on Li3Mg3Zn2 after structural relaxation.

```
Li3Mg3Zn2
1.0
4.603 0.000 0.000
0.000 4.661 0.000
0.000 0.000 6.735
Li Mg Zn
3 3 2
Cartesian
2.302 2.331 1.648 Li
2.302 2.331 5.087 Li
0.000 2.331 0.000 Li
0.000 2.331 3.368 Mg
2.302 0.000 0.000 Mg
2.302 0.000 3.368 Mg
0.000 0.000 1.608 Zn
0.000 0.000 5.127 Zn
```

Results
DFT formation energy in eV per atom: -0.10
Total energy in eV for the cell shown: -13.88
Total magnetic moment in μB per atom: 0.000
Space group: No. 47
ρ in g/cm³: 2.58

=====

[9]
VASP calculation (PBE) on Rb3TbY3Te8 after structural relaxation.

```
Rb3TbY3Te8
1.0
-5.281 6.070 -3.628
2.152 -7.259 -4.541
-6.734 -1.348 7.546
Rb Tb Y Te
3 1 3 8
Cartesian
0.000 0.000 0.000 Rb
1.076 -3.630 -2.270 Rb
-1.564 -0.594 -4.084 Rb
-3.367 -0.674 3.773 Tb
-6.007 2.361 1.959 Y
-4.931 -1.268 -0.311 Y
-2.291 -4.303 1.503 Y
-2.277 -2.655 -1.126 Te
-7.585 0.119 0.504 Te
-4.919 0.391 -2.922 Te
-4.944 -2.927 2.299 Te
-5.986 3.991 -0.670 Te
-3.877 -6.527 0.047 Te
-3.367 0.980 1.130 Te
-6.495 -3.517 -1.752 Te
```

Results
Total energy in eV for the cell shown: -72.00
Total magnetic moment in μB per atom: 0.000
Space group: No. 166
ρ in g/cm³: 4.74

=====

[10]
VASP calculation (PBE) on MgGe2Os2 after structural relaxation.

```
MgGe2Os2
1.0
7.236 0.000 0.000
0.000 7.236 0.000
0.000 0.000 2.999
Ge Os Mg
4 4 2
Cartesian
1.112 4.730 1.500 Ge
4.730 6.124 1.500 Ge
6.124 2.506 1.500 Ge
2.506 1.112 1.500 Ge
2.576 6.194 0.000 Os
6.194 4.660 0.000 Os
4.660 1.042 0.000 Os
1.042 2.576 0.000 Os
0.000 0.000 0.000 Mg
3.618 3.618 0.000 Mg
```

Results
DFT formation energy in eV per atom: 0.07
Total energy in eV for the cell shown: -65.86
Total magnetic moment in μB per atom: 0.000
Space group: No. 127
ρ in g/cm³: 11.63

=====

[11]
VASP calculation (PBE) on DyMgSn2 after structural relaxation.

```
DyMgSn2
1.0
4.537 0.000 0.000
2.269 3.929 0.000
2.269 1.310 6.412
Dy Mg Sn
1 1 2
Cartesian
6.806 3.929 6.299 Dy
4.537 2.620 3.342 Mg
2.269 1.310 4.673 Sn
2.269 1.310 1.717 Sn
```

Results
DFT formation energy in eV per atom: -0.33
Total energy in eV for the cell shown: -15.51
Total magnetic moment in μB per atom: 0.000
Space group: No. 160
ρ in g/cm³: 6.16

=====

[12]
VASP calculation (PBE) on Be2ZnRh after structural relaxation.

```
Be2ZnRh
1.0
4.013 0.000 0.000
2.006 3.475 0.000
2.006 1.158 3.276
Be Zn Rh
2 1 1
Cartesian
0.000 0.000 0.000 Be
2.006 1.158 0.819 Be
6.019 3.475 2.457 Zn
4.013 2.317 1.638 Rh
```

Results
DFT formation energy in eV per atom: -0.17
Total energy in eV for the cell shown: -16.76
Total magnetic moment in μB per atom: 0.000
Space group: No. 216
ρ in g/cm³: 6.77

=====

[13]
VASP calculation (PBE) on PmDyTaN3 after structural relaxation.

```
PmDyTaN3
1.0
3.452 0.000 0.000
0.000 7.285 1.161
0.000 -1.496 7.782
Pm Dy Ta N
2 2 2 6
Cartesian
2.589 4.917 7.517 Pm
0.863 0.873 1.427 Pm
0.863 4.206 1.898 Dy
2.589 1.583 7.046 Dy
0.863 0.029 4.665 Ta
2.589 5.760 4.278 Ta
0.863 5.214 5.213 N
2.589 6.048 2.292 N
2.589 2.630 1.418 N
2.589 0.575 3.730 N
0.863 3.159 7.525 N
0.863 -0.259 6.652 N
```

Results
Total energy in eV for the cell shown: -105.60
Total magnetic moment in μB per atom: 0.000
Space group: No. 11
ρ in g/cm³: 8.73

=====

[14]
VASP calculation (PBE) on LiAu2F8 after structural relaxation.

```
LiAu2F8
1.0
5.570 0.000 0.000
0.000 5.570 0.000
-2.785 -2.785 5.105
Li Au F
1 2 8
Cartesian
2.785 2.785 0.000 Li
2.785 0.000 2.552 Au
0.000 2.785 2.552 Au
3.736 1.044 1.208 F
-1.740 0.952 3.897 F
1.740 -0.952 3.897 F
-0.952 -1.740 3.897 F
1.833 4.525 1.208 F
4.525 3.736 1.208 F
1.044 1.833 1.208 F
0.952 1.740 3.897 F
```

Results
Total energy in eV for the cell shown: -37.77
Total magnetic moment in μB per atom: 0.000
Space group: No. 97
ρ in g/cm³: 5.80

=====

[15]
VASP calculation (PBE) on BeInP2 after structural relaxation.

```
BeInP2
1.0
5.156 0.012 0.008
4.181 3.016 0.008
0.029 0.009 4.974
P Be In
2 1 1
Cartesian
0.827 0.268 3.742 P
3.885 1.260 3.727 P
7.024 2.278 3.743 Be
2.341 0.759 1.248 In
```

Results
DFT formation energy in eV per atom: 0.30
Total energy in eV for the cell shown: -16.09
Total magnetic moment in μB per atom: 0.000
Space group: No. 12
ρ in g/cm³: 4.00

=====

[16]
VASP calculation (PBE) on Er3Fe3B8 after structural relaxation.

```
Er3Fe3B8
1.0
-2.287 -2.107 0.630
0.681 -0.886 7.499
-4.679 4.009 4.417
Er Fe B
3 3 8
Cartesian
-3.142 0.508 6.273 Er
-2.666 -0.948 3.131 Er
-3.619 1.964 9.415 Er
-1.143 -1.054 0.315 Fe
-0.438 0.136 6.856 Fe
-3.560 2.987 5.061 Fe
-4.356 1.171 4.081 B
-1.928 -0.154 8.465 B
-1.511 -1.428 5.717 B
-4.773 2.444 6.829 B
-3.571 -0.692 8.691 B
-2.713 1.708 3.855 B
-5.472 1.044 7.598 B
-0.813 -0.028 4.948 B
```

Results
DFT formation energy in eV per atom: -0.26
Total energy in eV for the cell shown: -96.10
Total magnetic moment in μB per atom: 0.204
Space group: No. 71
ρ in g/cm³: 7.99

=====

[17]
VASP calculation (PBE) on K3SeO after structural relaxation.

```
K3SeO
1.0
-4.138 2.406 -2.129
0.706 -2.707 -4.429
-3.134 -3.786 1.814
K O Se
3 1 1
Cartesian
0.353 -1.353 -2.215 K
-1.567 -1.893 0.907 K
-2.069 1.203 -1.065 K
0.000 0.000 0.000 O
-3.283 -2.043 -2.372 Se
```

Results
Total energy in eV for the cell shown: -16.44
Total magnetic moment in μB per atom: 0.073
Space group: No. 221
ρ in g/cm³: 2.45

=====

[18]
VASP calculation (PBE) on Sm5Ag2Rh2 after structural relaxation.

```
Sm5Ag2Rh2
1.0
-2.161 -7.412 0.425
7.037 -2.158 -1.865
-1.525 0.938 8.615
Sm Ag Rh
10 4 4
Cartesian
0.000 0.000 0.000 Sm
2.438 -4.785 -0.720 Sm
3.426 -7.623 1.035 Sm
2.453 -2.018 1.390 Sm
5.631 -4.262 0.524 Sm
0.248 -5.378 1.900 Sm
-0.075 -1.008 6.140 Sm
0.898 -6.614 5.784 Sm
-2.280 -4.369 6.650 Sm
3.103 -3.253 5.274 Sm
0.845 -0.060 3.256 Ag
3.283 -4.845 2.535 Ag
4.667 -1.160 3.494 Ag
0.068 -3.787 4.639 Ag
4.726 -6.566 -1.347 Rh
0.150 -3.004 -0.094 Rh
4.171 -2.358 -1.126 Rh
0.705 -7.211 -0.315 Rh
```

Results
DFT formation energy in eV per atom: -0.47
Total energy in eV for the cell shown: -96.43
Total magnetic moment in μB per atom: 0.000
Space group: No. 64
ρ in g/cm³: 8.36

=====

[19]
VASP calculation (PBE) on LiCrCl3 after structural relaxation.

```
LiCrCl3
1.0
-1.735 -4.318 -1.526
1.271 -2.022 4.276
-4.400 1.119 1.837
Cr Li Cl
1 1 3
Cartesian
0.000 0.000 0.000 Cr
-2.432 -2.611 2.294 Li
0.636 -1.011 2.138 Cl
-2.200 0.559 0.919 Cl
-0.868 -2.159 -0.763 Cl
```

Results
Total energy in eV for the cell shown: -22.43
Total magnetic moment in μB per atom: 0.800
Space group: No. 221
ρ in g/cm³: 2.34

=====

[20]
VASP calculation (PBE) on NiAuS2 after structural relaxation.

```
NiAuS2
1.0
18.228 0.000 -1.541
3.531 4.312 -4.032
-3.531 4.312 4.032
Ni S Au
8 16 8
Cartesian
8.277 3.182 -2.587 Ni
4.368 3.182 -2.215 Ni
9.951 5.442 1.046 Ni
13.860 5.442 0.674 Ni
6.659 0.915 -0.442 Ni
2.455 5.227 -0.328 Ni
11.569 7.710 -1.099 Ni
15.773 3.398 -1.213 Ni
0.849 6.744 -0.239 S
8.265 2.432 -0.532 S
17.379 1.880 -1.302 S
9.963 6.193 -1.010 S
13.998 2.052 -1.118 S
13.344 6.364 -1.194 S
4.230 6.573 -0.424 S
4.884 2.261 -0.347 S
10.137 4.391 -2.454 S
2.507 4.391 -2.348 S
8.090 4.234 0.913 S
15.721 4.234 0.807 S
11.906 4.326 0.860 S
6.322 4.299 -2.401 S
15.436 4.194 -3.172 S
2.792 4.430 1.631 S
2.901 1.093 -0.767 Au
6.213 5.405 -0.004 Au
15.327 7.532 -0.775 Au
12.015 3.219 -1.537 Au
4.570 3.057 2.225 Au
1.013 3.057 1.036 Au
13.658 5.568 -3.767 Au
17.215 5.568 -2.577 Au
```

Results
Total energy in eV for the cell shown: -141.09
Total magnetic moment in μB per atom: 0.000
Space group: No. 15
ρ in g/cm³: 7.24

=====

[21]
VASP calculation (PBE) on KSc2Be after structural relaxation.

```
KSc2Be
1.0
-1.764 -4.624 7.362
-0.587 -8.145 3.467
3.493 6.994 -4.193
Sc Be K
2 1 1
Cartesian
-0.034 -0.183 0.155 Sc
0.537 -0.595 3.094 Sc
-1.217 -6.610 5.606 Be
0.681 -4.771 3.196 K
```

Results
DFT formation energy in eV per atom: 0.51
Total energy in eV for the cell shown: -15.46
Total magnetic moment in μB per atom: 0.000
Space group: No. 44
ρ in g/cm³: 1.96

=====

[22]
VASP calculation (PBE) on YTeP2 after structural relaxation.

```
YTeP2
1.0
-0.791 -2.051 3.055
3.605 0.192 1.062
-1.293 5.546 3.388
P Te Y
2 1 1
Cartesian
-1.184 5.080 3.103 P
-0.755 3.239 1.978 P
1.083 0.457 2.906 Te
0.437 3.230 4.600 Y
```

Results
Total energy in eV for the cell shown: -22.33
Total magnetic moment in μB per atom: 0.000
Space group: No. 123
ρ in g/cm³: 4.93

=====

[23]
VASP calculation (PBE) on LuMgZnAu after structural relaxation.

```
LuMgZnAu
1.0
4.801 0.000 0.000
2.401 4.158 0.000
2.401 1.386 3.920
Zn Lu Au Mg
1 1 1 1
Cartesian
0.000 0.000 0.000 Zn
7.202 4.158 2.940 Lu
4.801 2.772 1.960 Au
2.401 1.386 0.980 Mg
```

Results
DFT formation energy in eV per atom: -0.56
Total energy in eV for the cell shown: -12.91
Total magnetic moment in μB per atom: 0.000
Space group: No. 216
ρ in g/cm³: 9.79